Compound: PmNd3Pd
Source: Alexandria via LeMat-Bulk
Functional: PBE-GGA
Structure: relaxed

Properties
formation enthalpy at 0 K = -7.18 kcal/mol of atoms
DFT total energy = -5.16 eV per atom
relative energy among the computed polymorphs = 0 meV/atom
magnetization = 0.00 Bohr magnetons per cell
space group = Cm (8)

Lattice parameters (Å, degrees): 3.855 6.529 13.032 85.71 81.49 72.83
Atoms (fractional coordinates):
Nd  0.990  0.105  0.916
Nd  0.427  0.625  0.521
Nd  0.760  0.723  0.757
Nd  0.107  0.165  0.621
Nd  0.785  0.043  0.386
Nd  0.453  0.942  0.151
Pm  0.223  0.560  0.994
Pm  0.105  0.504  0.286
Pd  0.761  0.342  0.136
Pd  0.449  0.329  0.773